# 1
Mg2Nb3Bi3O14 after structural relaxation. Source: the Alexandria database, functional PBEsol.

```
data_Mg2Nb3Bi3O14
_chemical_formula_sum 'Mg6 Nb9 Bi9 O42'
_symmetry_space_group_name_H-M 'R -3 m'
_symmetry_Int_Tables_number 166
_symmetry_space_group_name_Hall '-R 3 2"'
_cell_length_a 7.4742
_cell_length_b 7.4742
_cell_length_c 17.5088
_cell_angle_alpha 90.00
_cell_angle_beta 90.00
_cell_angle_gamma 120.00
loop_
_atom_site_label
_atom_site_fract_x
_atom_site_fract_y
_atom_site_fract_z
_atom_site_occupancy
Mg1 0.0000 0.0000 0.0000 1
Mg2 0.0000 0.0000 0.5000 1
Nb1 0.0000 0.5000 0.0000 1
Bi1 0.0000 0.5000 0.5000 1
O1 0.0000 0.0000 0.1119 1
O2 0.0440 0.5220 0.1114 1
O3 0.0699 0.5350 0.3539 1
```

DOS(E_F): 0.0 states/eV per cell
Calculated total energy: -7.69 eV per atom
Uncorrected formation energy: -4533.1 kJ/mol of formula units
Spin magnetization: 0.000 μB per atom



# 2
MgNiBi after structural relaxation. Source: the Alexandria database, functional PBEsol.

```
data_MgNiBi
_chemical_formula_sum 'Mg4 Ni4 Bi4'
_symmetry_space_group_name_H-M 'F -4 3 m'
_symmetry_Int_Tables_number 216
_symmetry_space_group_name_Hall 'F -4 2 3'
_cell_length_a 6.1763
_cell_length_b 6.1763
_cell_length_c 6.1763
_cell_angle_alpha 90.00
_cell_angle_beta 90.00
_cell_angle_gamma 90.00
loop_
_atom_site_label
_atom_site_fract_x
_atom_site_fract_y
_atom_site_fract_z
_atom_site_occupancy
Mg1 0.0000 0.0000 0.0000 1
Ni1 0.2500 0.2500 0.7500 1
Bi1 0.0000 0.0000 0.5000 1
```

DOS(E_F): 6.3 states/eV per cell
Calculated total energy: -4.27 eV per atom
Formation enthalpy at 0 K: -0.216 eV/atom
Spin magnetization: 0.000 μB per atom



# 3
MgSc2NiBi after structural relaxation. Source: the Alexandria database, functional PBEsol.

```
data_MgSc2NiBi
_chemical_formula_sum 'Mg1 Sc2 Ni1 Bi1'
_symmetry_space_group_name_H-M 'P 4/m m m'
_symmetry_Int_Tables_number 123
_symmetry_space_group_name_Hall '-P 4 2'
_cell_length_a 5.4136
_cell_length_b 5.4136
_cell_length_c 4.7155
_cell_angle_alpha 90.00
_cell_angle_beta 90.00
_cell_angle_gamma 90.00
loop_
_atom_site_label
_atom_site_fract_x
_atom_site_fract_y
_atom_site_fract_z
_atom_site_occupancy
Mg1 0.0000 0.0000 0.0000 1
Sc1 0.0000 0.5000 0.5000 1
Ni1 0.5000 0.5000 0.0000 1
Bi1 0.5000 0.5000 0.5000 1
```

DOS(E_F): 6.4 states/eV per cell
Calculated total energy: -4.55 eV per atom
Formation enthalpy at 0 K: 0.520 eV/atom
Spin magnetization: 0.000 μB per atom



# 4
Sr2MgNiBi after structural relaxation. Source: the Alexandria database, functional PBEsol.

```
data_Sr2MgNiBi
_chemical_formula_sum 'Sr2 Mg1 Ni1 Bi1'
_symmetry_space_group_name_H-M 'P 4/m m m'
_symmetry_Int_Tables_number 123
_symmetry_space_group_name_Hall '-P 4 2'
_cell_length_a 6.1403
_cell_length_b 6.1403
_cell_length_c 5.1460
_cell_angle_alpha 90.00
_cell_angle_beta 90.00
_cell_angle_gamma 90.00
loop_
_atom_site_label
_atom_site_fract_x
_atom_site_fract_y
_atom_site_fract_z
_atom_site_occupancy
Sr1 0.0000 0.5000 0.0000 1
Mg1 0.0000 0.0000 0.0000 1
Ni1 0.5000 0.5000 0.5000 1
Bi1 0.0000 0.0000 0.5000 1
```

DOS(E_F): 7.6 states/eV per cell
Calculated total energy: -2.48 eV per atom
Formation enthalpy at 0 K: 0.689 eV/atom
Spin magnetization: 0.153 μB per atom



> Which of these has the highest calculated total energy?

Sr2MgNiBi